BaSrCrSnO6: relaxed, GGA+U.

Cell lengths 8.111, 8.111, 8.111 Å; angles 90.00, 90.00, 90.00 degrees
Space group F-43m (No. 216)
Unique sites:
Ba: 0.000 0.000 0.000 [4 per cell]
Sr: 0.000 0.000 0.500 [4 per cell]
Cr: 0.250 0.250 0.250 [4 per cell]
Sn: 0.250 0.250 0.750 [4 per cell]
O: 0.006 0.250 0.250 [24 per cell]

Output
VASP energy: -6.60 eV per atom
D(E_F): 26.79 states/eV per cell